Entry 1:
{
  "formula": "DyAl4Zn",
  "functional": "PBE",
  "state": "relaxed",
  "volume_a3_per_atom": 22.32,
  "total_energy_ev_per_atom": -3.354,
  "dos_ef_per_ev_fu": 2.7,
  "ef_ev_per_atom": 0.121,
  "lattice": [[-2.559, 2.559, 10.222], [2.559, -2.559, 10.222], [2.559, 2.559, -10.222]],
  "species": ["Dy", "Dy", "Al", "Al", "Al", "Al", "Al", "Al", "Al", "Al", "Zn", "Zn"],
  "fractional_positions": [[0.375, 0.625, 0.750], [0.625, 0.375, 0.250], [0.229, 0.233, 0.504], [0.229, 0.725, 0.996], [0.233, 0.229, 0.004], [0.275, 0.771, 0.504], [0.725, 0.229, 0.496], [0.767, 0.771, 0.996], [0.771, 0.275, 0.004], [0.771, 0.767, 0.496], [0.125, 0.875, 0.250], [0.875, 0.125, 0.750]]
}

=====

Entry 2:
{
  "formula": "BaTb4PmSe8",
  "functional": "PBE",
  "state": "relaxed",
  "raw_formation_energy_ev_per_atom": -1.783,
  "volume_a3_per_atom": 32.93,
  "total_energy_ev_per_atom": -5.574,
  "dos_ef_per_ev_fu": 4.2,
  "lattice": [[4.320, 2.494, 7.131], [-4.320, 2.494, 7.131], [0.000, -4.988, 7.131]],
  "species": ["Ba", "Tb", "Tb", "Tb", "Tb", "Pm", "Se", "Se", "Se", "Se", "Se", "Se", "Se", "Se"],
  "fractional_positions": [[0.000, 0.000, 0.000], [0.122, 0.628, 0.628], [0.252, 0.252, 0.252], [0.628, 0.122, 0.628], [0.628, 0.628, 0.122], [0.629, 0.629, 0.629], [0.381, 0.381, 0.857], [0.381, 0.857, 0.381], [0.384, 0.384, 0.384], [0.426, 0.864, 0.864], [0.857, 0.381, 0.381], [0.859, 0.859, 0.859], [0.864, 0.426, 0.864], [0.864, 0.864, 0.426]]
}

=====

Entry 3:
{
  "formula": "CePmBi2",
  "functional": "PBE",
  "state": "relaxed",
  "polymorph_energy_mev_per_atom": 59,
  "volume_a3_per_atom": 33.43,
  "total_energy_ev_per_atom": -5.423,
  "dos_ef_per_ev_fu": 6.7,
  "ef_ev_per_atom": -0.811,
  "lattice": [[2.228, -12.675, 0.000], [2.228, 12.675, 0.000], [0.000, 0.000, 4.735]],
  "species": ["Ce", "Ce", "Pm", "Pm", "Bi", "Bi", "Bi", "Bi"],
  "fractional_positions": [[0.059, 0.941, 0.750], [0.941, 0.059, 0.250], [0.313, 0.687, 0.750], [0.687, 0.313, 0.250], [0.186, 0.814, 0.750], [0.443, 0.557, 0.750], [0.557, 0.443, 0.250], [0.814, 0.186, 0.250]]
}

=====

Entry 4:
{
  "formula": "Na2SnHPb",
  "functional": "PBE",
  "state": "relaxed",
  "polymorph_energy_mev_per_atom": 0,
  "volume_a3_per_atom": 22.28,
  "total_energy_ev_per_atom": -2.818,
  "dos_ef_per_ev_fu": 1.2,
  "lattice": [[4.648, 0.000, 0.000], [0.000, 4.648, 0.000], [0.000, 0.000, 5.156]],
  "species": ["Na", "Na", "Sn", "H", "Pb"],
  "fractional_positions": [[0.000, 0.500, 0.000], [0.500, 0.000, 0.000], [0.000, 0.000, 0.500], [0.500, 0.500, 0.000], [0.500, 0.500, 0.500]]
}

=====

Entry 5:
{
  "formula": "KGaRuO4",
  "functional": "PBE",
  "state": "relaxed",
  "raw_formation_energy_ev_per_atom": -1.185,
  "volume_a3_per_atom": 15.06,
  "total_energy_ev_per_atom": -5.932,
  "dos_ef_per_ev_fu": 1.5,
  "lattice": [[5.502, 0.000, 0.000], [0.000, 5.580, 0.000], [-1.630, 0.000, 6.869]],
  "species": ["K", "K", "Ga", "Ga", "Ru", "Ru", "O", "O", "O", "O", "O", "O", "O", "O"],
  "fractional_positions": [[0.146, 0.250, 0.107], [0.854, 0.750, 0.893], [0.402, 0.250, 0.664], [0.598, 0.750, 0.336], [0.141, 0.750, 0.459], [0.859, 0.250, 0.541], [0.141, 0.019, 0.673], [0.141, 0.481, 0.673], [0.264, 0.750, 0.204], [0.499, 0.750, 0.573], [0.501, 0.250, 0.427], [0.736, 0.250, 0.796], [0.859, 0.519, 0.327], [0.859, 0.981, 0.327]]
}

=====

Entry 6:
{
  "formula": "Pr5Pu3N8",
  "functional": "PBE",
  "state": "relaxed",
  "raw_formation_energy_ev_per_atom": -1.276,
  "volume_a3_per_atom": 16.47,
  "total_energy_ev_per_atom": -9.619,
  "dos_ef_per_ev_fu": 21.7,
  "lattice": [[3.599, 2.078, 5.875], [-3.599, 2.078, 5.875], [0.000, -4.155, 5.875]],
  "species": ["Pr", "Pr", "Pr", "Pr", "Pr", "Pu", "Pu", "Pu", "N", "N", "N", "N", "N", "N", "N", "N"],
  "fractional_positions": [[0.000, 0.000, 0.000], [0.000, 0.500, 0.500], [0.500, 0.000, 0.500], [0.500, 0.500, 0.000], [0.500, 0.500, 0.500], [0.000, 0.000, 0.500], [0.000, 0.500, 0.000], [0.500, 0.000, 0.000], [0.228, 0.750, 0.750], [0.241, 0.241, 0.241], [0.250, 0.250, 0.772], [0.250, 0.772, 0.250], [0.750, 0.228, 0.750], [0.750, 0.750, 0.228], [0.759, 0.759, 0.759], [0.772, 0.250, 0.250]]
}

=====

Entry 7:
{
  "formula": "Ca5YBi4",
  "functional": "PBE",
  "state": "relaxed",
  "volume_a3_per_atom": 35.28,
  "total_energy_ev_per_atom": -3.919,
  "dos_ef_per_ev_fu": 4.4,
  "ef_ev_per_atom": -0.719,
  "lattice": [[8.705, -2.571, 0.000], [8.705, 2.571, 0.000], [-0.547, 0.000, 7.882]],
  "species": ["Ca", "Ca", "Ca", "Ca", "Ca", "Y", "Bi", "Bi", "Bi", "Bi"],
  "fractional_positions": [[0.000, 0.000, 0.000], [0.330, 0.330, 0.497], [0.340, 0.340, 0.013], [0.660, 0.660, 0.987], [0.670, 0.670, 0.503], [0.000, 0.000, 0.500], [0.181, 0.181, 0.745], [0.477, 0.477, 0.748], [0.523, 0.523, 0.252], [0.819, 0.819, 0.255]]
}

=====

Entry 8:
{
  "formula": "Sc2TaAs",
  "functional": "PBE",
  "state": "relaxed",
  "volume_a3_per_atom": 20.46,
  "total_energy_ev_per_atom": -7.631,
  "dos_ef_per_ev_fu": 3.6,
  "ef_ev_per_atom": -0.340,
  "lattice": [[4.158, 0.000, 0.000], [0.000, 1.865, 5.278], [0.000, -1.865, 5.278]],
  "species": ["Sc", "Sc", "Ta", "As"],
  "fractional_positions": [[0.000, 0.000, 0.000], [0.500, 0.297, 0.297], [0.500, 0.574, 0.574], [0.000, 0.725, 0.725]]
}

=====

Entry 9:
{
  "formula": "BaNa2SeO4",
  "functional": "PBE",
  "state": "relaxed",
  "raw_formation_energy_ev_per_atom": -1.415,
  "volume_a3_per_atom": 16.91,
  "total_energy_ev_per_atom": -4.900,
  "lattice": [[-2.982, 2.982, 3.802], [2.982, -2.982, 3.802], [2.982, 2.982, -3.802]],
  "species": ["Ba", "Na", "Na", "Se", "O", "O", "O", "O"],
  "fractional_positions": [[0.000, 0.000, 0.000], [0.250, 0.750, 0.500], [0.500, 0.500, 0.000], [0.750, 0.250, 0.500], [0.069, 0.522, 0.939], [0.478, 0.416, 0.546], [0.584, 0.130, 0.061], [0.870, 0.931, 0.454]]
}

=====

Entry 10:
{
  "formula": "Ba2SnAs",
  "functional": "PBE",
  "state": "relaxed",
  "polymorph_energy_mev_per_atom": 129,
  "volume_a3_per_atom": 35.88,
  "total_energy_ev_per_atom": -3.703,
  "dos_ef_per_ev_fu": 3.6,
  "ef_ev_per_atom": -0.579,
  "lattice": [[0.000, 4.155, 4.155], [4.155, 0.000, 4.155], [4.155, 4.155, 0.000]],
  "species": ["Ba", "Ba", "Sn", "As"],
  "fractional_positions": [[0.250, 0.250, 0.250], [0.750, 0.750, 0.750], [0.000, 0.000, 0.000], [0.500, 0.500, 0.500]]
}

=====

Entry 11:
{
  "formula": "ZrInSi2",
  "functional": "PBE",
  "state": "relaxed",
  "raw_formation_energy_ev_per_atom": -0.081,
  "volume_a3_per_atom": 20.07,
  "total_energy_ev_per_atom": -5.614,
  "dos_ef_per_ev_fu": 2.7,
  "lattice": [[4.747, -1.805, 0.000], [4.747, 1.805, 0.000], [-1.884, 0.000, 4.684]],
  "species": ["Zr", "In", "Si", "Si"],
  "fractional_positions": [[0.000, 0.000, 0.000], [0.500, 0.500, 0.500], [0.259, 0.259, 0.843], [0.741, 0.741, 0.157]]
}

=====

Entry 12:
{
  "formula": "LiAcGa2Au",
  "functional": "PBE",
  "state": "relaxed",
  "volume_a3_per_atom": 22.01,
  "total_energy_ev_per_atom": -3.630,
  "dos_ef_per_ev_fu": 3.0,
  "ef_ev_per_atom": -0.560,
  "lattice": [[-2.286, 2.286, 5.265], [2.286, -2.286, 5.265], [2.286, 2.286, -5.265]],
  "species": ["Li", "Ac", "Ga", "Ga", "Au"],
  "fractional_positions": [[0.000, 0.000, 0.000], [0.250, 0.750, 0.500], [0.630, 0.130, 0.500], [0.870, 0.370, 0.500], [0.500, 0.500, 0.000]]
}

=====

Entry 13:
{
  "formula": "Zr3TiPt2N",
  "functional": "PBE",
  "state": "relaxed",
  "raw_formation_energy_ev_per_atom": -1.089,
  "volume_a3_per_atom": 17.81,
  "total_energy_ev_per_atom": -8.795,
  "dos_ef_per_ev_fu": 4.0,
  "lattice": [[-2.049, 2.191, 6.945], [2.049, -2.191, 6.945], [2.049, 2.191, -6.945]],
  "species": ["Zr", "Zr", "Zr", "Ti", "Pt", "Pt", "N"],
  "fractional_positions": [[0.000, 0.000, 0.000], [0.323, 0.823, 0.500], [0.677, 0.177, 0.500], [0.500, 0.500, 0.000], [0.136, 0.636, 0.500], [0.864, 0.364, 0.500], [0.500, 0.000, 0.500]]
}

=====

Entry 14:
{
  "formula": "TeP2Pt",
  "functional": "PBE",
  "state": "relaxed",
  "raw_formation_energy_ev_per_atom": 0.280,
  "volume_a3_per_atom": 22.04,
  "total_energy_ev_per_atom": -4.721,
  "dos_ef_per_ev_fu": 2.2,
  "lattice": [[-1.855, 2.316, 5.130], [1.855, -2.316, 5.130], [1.855, 2.316, -5.130]],
  "species": ["Te", "P", "P", "Pt"],
  "fractional_positions": [[0.000, 0.000, 0.000], [0.344, 0.844, 0.500], [0.656, 0.156, 0.500], [0.500, 0.500, 0.000]]
}

=====

Entry 15:
{
  "formula": "CdGeI2",
  "functional": "PBE",
  "state": "relaxed",
  "polymorph_energy_mev_per_atom": 0,
  "raw_formation_energy_ev_per_atom": -0.088,
  "volume_a3_per_atom": 44.29,
  "total_energy_ev_per_atom": -2.247,
  "lattice": [[2.112, 1.219, 11.467], [-2.112, 1.219, 11.467], [0.000, -2.439, 11.467]],
  "species": ["Cd", "Ge", "I", "I"],
  "fractional_positions": [[0.000, 0.000, 0.000], [0.500, 0.500, 0.500], [0.115, 0.115, 0.115], [0.885, 0.885, 0.885]]
}

=====

Entry 16:
{
  "formula": "In2Sb2H16C4S7N2",
  "functional": "PBE",
  "state": "relaxed",
  "volume_a3_per_atom": 15.95,
  "total_energy_ev_per_atom": -4.840,
  "dos_ef_per_ev_fu": 0.0,
  "lattice": [[10.103, -3.557, 0.000], [10.103, 3.557, 0.000], [-9.576, 0.000, 14.645]],
  "species": ["In", "In", "In", "In", "Sb", "Sb", "Sb", "Sb", "H", "H", "H", "H", "H", "H", "H", "H", "H", "H", "H", "H", "H", "H", "H", "H", "H", "H", "H", "H", "H", "H", "H", "H", "H", "H", "H", "H", "H", "H", "H", "H", "C", "C", "C", "C", "C", "C", "C", "C", "S", "S", "S", "S", "S", "S", "S", "S", "S", "S", "S", "S", "S", "S", "N", "N", "N", "N"],
  "fractional_positions": [[0.188, 0.732, 0.608], [0.268, 0.812, 0.892], [0.732, 0.188, 0.108], [0.812, 0.268, 0.392], [0.229, 0.702, 0.045], [0.298, 0.771, 0.455], [0.702, 0.229, 0.545], [0.771, 0.298, 0.955], [0.011, 0.485, 0.174], [0.016, 0.671, 0.208], [0.057, 0.514, 0.610], [0.119, 0.314, 0.623], [0.127, 0.490, 0.723], [0.180, 0.491, 0.278], [0.206, 0.394, 0.091], [0.314, 0.119, 0.123], [0.329, 0.984, 0.292], [0.361, 0.401, 0.187], [0.394, 0.206, 0.591], [0.401, 0.361, 0.687], [0.485, 0.011, 0.674], [0.486, 0.943, 0.890], [0.490, 0.127, 0.223], [0.491, 0.180, 0.778], [0.509, 0.820, 0.222], [0.510, 0.873, 0.777], [0.514, 0.057, 0.110], [0.515, 0.989, 0.326], [0.599, 0.639, 0.313], [0.606, 0.794, 0.409], [0.639, 0.599, 0.813], [0.671, 0.016, 0.708], [0.686, 0.881, 0.877], [0.794, 0.606, 0.909], [0.820, 0.509, 0.722], [0.873, 0.510, 0.277], [0.881, 0.686, 0.377], [0.943, 0.486, 0.390], [0.984, 0.329, 0.792], [0.989, 0.515, 0.826], [0.107, 0.515, 0.208], [0.152, 0.407, 0.653], [0.407, 0.152, 0.153], [0.485, 0.893, 0.292], [0.515, 0.107, 0.708], [0.593, 0.848, 0.847], [0.848, 0.593, 0.347], [0.893, 0.485, 0.792], [0.055, 0.185, 0.928], [0.063, 0.777, 0.891], [0.185, 0.055, 0.428], [0.223, 0.937, 0.609], [0.338, 0.409, 0.488], [0.408, 0.592, 0.750], [0.409, 0.338, 0.988], [0.591, 0.662, 0.012], [0.592, 0.408, 0.250], [0.662, 0.591, 0.512], [0.777, 0.063, 0.391], [0.815, 0.945, 0.572], [0.937, 0.223, 0.109], [0.945, 0.815, 0.072], [0.270, 0.371, 0.156], [0.371, 0.270, 0.656], [0.629, 0.730, 0.344], [0.730, 0.629, 0.844]]
}

=====

Entry 17:
{
  "formula": "Ba3Sn3Hg2",
  "functional": "PBE",
  "state": "relaxed",
  "volume_a3_per_atom": 34.48,
  "total_energy_ev_per_atom": -2.893,
  "dos_ef_per_ev_fu": 1.1,
  "ef_ev_per_atom": -0.595,
  "lattice": [[2.653, -6.073, 0.000], [2.653, 6.073, 0.000], [0.000, 0.000, 17.116]],
  "species": ["Ba", "Ba", "Ba", "Ba", "Ba", "Ba", "Sn", "Sn", "Sn", "Sn", "Sn", "Sn", "Hg", "Hg", "Hg", "Hg"],
  "fractional_positions": [[0.102, 0.898, 0.607], [0.102, 0.898, 0.893], [0.376, 0.624, 0.750], [0.624, 0.376, 0.250], [0.898, 0.102, 0.107], [0.898, 0.102, 0.393], [0.326, 0.674, 0.250], [0.386, 0.614, 0.532], [0.386, 0.614, 0.968], [0.614, 0.386, 0.032], [0.614, 0.386, 0.468], [0.674, 0.326, 0.750], [0.198, 0.802, 0.100], [0.198, 0.802, 0.400], [0.802, 0.198, 0.600], [0.802, 0.198, 0.900]]
}

=====

Entry 18:
{
  "formula": "LiSi2Ag",
  "functional": "PBE",
  "state": "relaxed",
  "polymorph_energy_mev_per_atom": 34,
  "raw_formation_energy_ev_per_atom": 0.083,
  "volume_a3_per_atom": 15.39,
  "total_energy_ev_per_atom": -3.819,
  "dos_ef_per_ev_fu": 0.8,
  "lattice": [[4.380, -1.452, 0.000], [4.380, 1.452, 0.000], [-0.934, 0.000, 4.840]],
  "species": ["Li", "Si", "Si", "Ag"],
  "fractional_positions": [[0.000, 0.000, 0.000], [0.249, 0.249, 0.785], [0.751, 0.751, 0.215], [0.500, 0.500, 0.500]]
}

=====

Entry 19:
{
  "formula": "LiZn2Ag3",
  "functional": "PBE",
  "state": "relaxed",
  "polymorph_energy_mev_per_atom": 0,
  "volume_a3_per_atom": 16.11,
  "total_energy_ev_per_atom": -2.283,
  "dos_ef_per_ev_fu": 1.9,
  "ef_ev_per_atom": -0.114,
  "lattice": [[4.251, 0.000, 0.000], [0.000, 7.130, 0.000], [-1.925, 0.000, 6.378]],
  "species": ["Li", "Li", "Zn", "Zn", "Zn", "Zn", "Ag", "Ag", "Ag", "Ag", "Ag", "Ag"],
  "fractional_positions": [[0.162, 0.000, 0.325], [0.838, 0.000, 0.675], [0.170, 0.500, 0.339], [0.500, 0.000, 0.000], [0.500, 0.500, 0.000], [0.830, 0.500, 0.661], [0.000, 0.255, 0.000], [0.000, 0.745, 0.000], [0.333, 0.247, 0.666], [0.333, 0.753, 0.666], [0.667, 0.247, 0.334], [0.667, 0.753, 0.334]]
}

=====

Entry 20:
{
  "formula": "CdF",
  "functional": "PBE",
  "state": "relaxed",
  "raw_formation_energy_ev_per_atom": -1.270,
  "volume_a3_per_atom": 26.21,
  "total_energy_ev_per_atom": -2.663,
  "dos_ef_per_ev_fu": 0.8,
  "lattice": [[6.801, 0.000, 0.000], [0.000, 6.801, 0.000], [0.000, 0.000, 6.801]],
  "species": ["Cd", "Cd", "Cd", "Cd", "Cd", "Cd", "F", "F", "F", "F", "F", "F"],
  "fractional_positions": [[0.000, 0.250, 0.500], [0.000, 0.750, 0.500], [0.250, 0.500, 0.000], [0.500, 0.000, 0.250], [0.500, 0.000, 0.750], [0.750, 0.500, 0.000], [0.000, 0.500, 0.250], [0.000, 0.500, 0.750], [0.250, 0.000, 0.500], [0.500, 0.250, 0.000], [0.500, 0.750, 0.000], [0.750, 0.000, 0.500]]
}